No. 1
EuCdGe2 (PBE, optimized geometry); excess energy over the best structure of this formula in the dataset = 86 meV per atom
1.0
-0.822 -1.854 -4.096
-2.216 -3.986 -0.301
-5.562 0.601 -1.706
Eu Ge Cd
1 2 1
Direct
0.000 0.000 0.000 Eu
0.768 0.768 0.697 Ge
0.232 0.232 0.303 Ge
0.500 0.500 0.500 Cd

=====

No. 2
Entry from Alexandria via LeMat-Bulk: a geometry-optimized EuCdGe structure (PBE).

Structure (POSCAR):
```
EuCdGe
1.0
4.868 0.000 0.000
2.434 4.216 0.000
2.434 1.405 3.975
Eu Ge Cd
1 1 1
Direct
0.500 0.500 0.500 Eu
0.250 0.250 0.250 Ge
0.000 0.000 0.000 Cd
```

=====

No. 3
Entry from Alexandria via LeMat-Bulk: a geometry-optimized Eu2CdGe structure (PBE).

Structure (POSCAR):
```
Eu2CdGe
1.0
-1.599 1.116 -3.244
-2.991 -1.868 -1.377
-8.254 6.389 4.061
Eu Ge Cd
2 1 1
Direct
0.103 0.103 0.692 Eu
0.897 0.897 0.308 Eu
0.500 0.500 0.500 Ge
0.000 0.000 0.000 Cd
```

=====

| no. | energy of formation from the pure elements (eV per atom) | total energy (eV per cell) | magnetic moment (μB per atom) |
| --- | --- | --- | --- |
| 1 | -0.2285 | -21.34 | 1.74 |
| 2 | -0.4578 | -17.18 | 2.33 |
| 3 | -0.0851 | -26.42 | 3.65 |